# PuPbS3 (PBE-GGA, optimized geometry)
# * uncorrected energy: -7.0675 eV/atom
# * Fermi-level density of states: 1.381 states/eV/atom
# * size of the total moment: 4.00 μB per formula unit
# * ΔE_f (raw): -0.983 eV per atom
data_PuPbS3
_symmetry_space_group_name_H-M 'C 1 2/m 1'
_symmetry_Int_Tables_number 12
_cell_length_a 13.291
_cell_length_b 5.140
_cell_length_c 8.335
_cell_angle_alpha 90.00
_cell_angle_beta 99.59
_cell_angle_gamma 90.00
loop_
_symmetry_equiv_pos_as_xyz
'x,y,z'
'-x,-y,-z'
'-x,y,-z'
'x,-y,z'
'x+1/2,y+1/2,z'
'-x+1/2,-y+1/2,-z'
'-x+1/2,y+1/2,-z'
'x+1/2,-y+1/2,z'
loop_
_atom_site_label
_atom_site_fract_x
_atom_site_fract_y
_atom_site_fract_z
_atom_site_occupancy
Pu1 0.134 0.000 0.416 1
Pb1 0.130 0.500 0.890 1
S1 0.065 0.000 0.697 1
S2 0.167 0.500 0.448 1
S3 0.169 0.000 0.106 1